Density functional theory data (PBE) for Rb2CrAgI6 after structural relaxation.

Cell lengths 8.484, 8.484, 8.484 Å; angles 59.30, 59.30, 59.30 degrees
Fractional coordinates of all 10 atoms:
Rb 0.000 0.000 0.000
Rb 0.492 0.492 0.492
Cr 0.728 0.728 0.728
Ag 0.313 0.313 0.313
I 0.009 0.495 0.892
I 0.426 0.935 0.561
I 0.495 0.892 0.009
I 0.561 0.426 0.935
I 0.892 0.009 0.495
I 0.935 0.561 0.426

Summary:
The value obtained for the uncorrected formation energy is -0.7651 eV/atom. The calculation puts the total magnetization at 2.917 μB/cell. The offset from the most stable computed form comes out at 0 meV/atom.